1.
VASP calculation (GGA-PBE) on a relaxed structure of YRe.

Summary:
Crystal system   hexagonal
SG   P6_3/mmc, No. 194
Formation enthalpy at 0 K   17.41 kcal/mol of atoms
Calculated volume   41 Å³/f.u.

Lattice parameters (Å, degrees): 3.180 3.180 9.340 90.00 90.00 120.00
Atoms (fractional coordinates):
Y 0.000 0.000 0.000
Y 0.000 0.000 0.500
Re 0.333 0.667 0.250
Re 0.667 0.333 0.750

2.
VASP calculation (GGA-PBE) on a relaxed structure of CaCrCl2.

Summary:
Crystal system   monoclinic
SG   Cm, No. 8
Relative energy among the computed polymorphs   90 meV per atom
E_form (uncorrected)   -0.84 eV per atom
Calculated volume   110 Å³/f.u.

Lattice parameters (Å, degrees): 7.265 7.265 4.542 101.17 101.17 28.01
Atoms (fractional coordinates):
Ca 0.000 0.000 0.000
Cr 0.292 0.292 0.006
Cl 0.469 0.469 0.491
Cl 0.661 0.661 0.115

3.
VASP calculation (GGA-PBE) on a relaxed structure of IrRu.

Summary:
Crystal system   orthorhombic
SG   Pnma, No. 62
Relative energy among the computed polymorphs   326 meV per atom
Formation enthalpy at 0 K   6.24 kcal/mol of atoms
Calculated volume   30 Å³/f.u.

Lattice parameters (Å, degrees): 4.689 7.254 7.157 90.00 90.00 90.00
Atoms (fractional coordinates):
Ir 0.248 0.071 0.028
Ir 0.248 0.429 0.028
Ir 0.252 0.571 0.528
Ir 0.252 0.929 0.528
Ir 0.748 0.071 0.472
Ir 0.748 0.429 0.472
Ir 0.752 0.571 0.972
Ir 0.752 0.929 0.972
Ru 0.102 0.250 0.696
Ru 0.244 0.750 0.850
Ru 0.256 0.250 0.350
Ru 0.398 0.750 0.196
Ru 0.602 0.250 0.804
Ru 0.744 0.750 0.650
Ru 0.756 0.250 0.150
Ru 0.898 0.750 0.304

4.
VASP calculation (GGA-PBE) on a relaxed structure of CaReN2O.

Summary:
Crystal system   tetragonal
SG   P4/mmm, No. 123
E_form (uncorrected)   1.89 eV per atom
Calculated volume   78 Å³/f.u.

Lattice parameters (Å, degrees): 4.344 4.344 4.153 90.00 90.00 90.00
Atoms (fractional coordinates):
Ca 0.000 0.000 0.000
Re 0.500 0.500 0.500
N 0.000 0.500 0.000
N 0.500 0.000 0.000
O 0.000 0.000 0.500

5.
VASP calculation (GGA-PBE) on a relaxed structure of YTmRu.

Summary:
Crystal system   cubic
SG   F-43m, No. 216
Relative energy among the computed polymorphs   75 meV per atom
Formation enthalpy at 0 K   -6.79 kcal/mol of atoms
Calculated volume   76 Å³/f.u.

Lattice parameters (Å, degrees): 4.757 4.757 4.757 60.00 60.00 60.00
Atoms (fractional coordinates):
Y 0.000 0.000 0.000
Tm 0.500 0.500 0.500
Ru 0.250 0.250 0.250

6.
VASP calculation (GGA-PBE) on a relaxed structure of Ca3VCu.

Summary:
Crystal system   cubic
SG   Pm-3m, No. 221
Relative energy among the computed polymorphs   0 meV per atom
Formation enthalpy at 0 K   12.15 kcal/mol of atoms
Calculated volume   164 Å³/f.u.

Lattice parameters (Å, degrees): 5.474 5.474 5.474 90.00 90.00 90.00
Atoms (fractional coordinates):
Ca 0.000 0.000 0.500
Ca 0.000 0.500 0.000
Ca 0.500 0.000 0.000
V 0.500 0.500 0.500
Cu 0.000 0.000 0.000

7.
VASP calculation (GGA-PBE) on a relaxed structure of PrSeF.

Summary:
Crystal system   hexagonal
SG   P-6m2, No. 187
E_form (uncorrected)   -2.88 eV per atom
Calculated volume   63 Å³/f.u.

Lattice parameters (Å, degrees): 4.174 4.174 4.158 90.00 90.00 120.00
Atoms (fractional coordinates):
Pr 0.000 0.000 0.000
Se 0.667 0.333 0.500
F 0.333 0.667 0.000

8.
VASP calculation (GGA-PBE) on a relaxed structure of NiMoW2.

Summary:
Crystal system   orthorhombic
SG   Immm, No. 71
Relative energy among the computed polymorphs   105 meV per atom
Formation enthalpy at 0 K   3.80 kcal/mol of atoms
Calculated volume   60 Å³/f.u.

Lattice parameters (Å, degrees): 4.987 4.987 4.987 141.25 128.37 66.38
Atoms (fractional coordinates):
Ni 0.000 0.000 0.000
Mo 0.500 0.500 0.000
W 0.254 0.754 0.500
W 0.746 0.246 0.500